This record from Alexandria describes crystalline MnCu2Ni5 at its relaxed geometry. The functional is PBE.

DOS at the Fermi energy: 8.434 states/eV/cell
ΔH_f (0 K): -28.5 meV per atom

Unit cell a=3.5808 b=3.5808 c=7.5204 alpha=103.77 beta=103.77 gamma=90.00
Each line ends with the local moment (μB).
Fractional coordinates of all 8 atoms:
Ni1 0.1237 0.6237 0.2474  0.49
Ni2 0.8763 0.3763 0.7526  0.49
Ni3 0.3763 0.8763 0.7526  0.49
Ni4 0.5000 0.5000 0.0000  0.63
Ni5 0.6237 0.1237 0.2474  0.49
Mn1 0.0000 0.0000 0.0000  3.21
Cu1 0.7493 0.7493 0.4987  0.04
Cu2 0.2507 0.2507 0.5013  0.04



This record from Alexandria describes crystalline PmY2I6 at its relaxed geometry. The functional is PBE.

DOS at the Fermi energy: 6.112 states/eV/cell
E_form (uncorrected): -1187 meV/atom
Excess energy over the best structure of this formula in the dataset: 0.071 eV/atom

Unit cell a=7.5907 b=7.5907 c=8.3388 alpha=62.93 beta=62.93 gamma=60.00
Fractional coordinates of all 9 atoms:
Y1 0.5175 0.5175 0.4475
Y2 0.6829 0.6829 0.9513
I1 0.6171 0.9271 0.1988
I2 0.4313 0.0969 0.6889
I3 0.9271 0.2570 0.1988
I4 0.2570 0.6171 0.1988
I5 0.7829 0.4313 0.6889
I6 0.0969 0.7829 0.6889
Pm1 0.3530 0.3530 0.9411



This record from Alexandria describes crystalline Ac2LaPm5Tm at its relaxed geometry. The functional is PBE.

DOS at the Fermi energy: 25.308 states/eV/cell
ΔH_f (0 K): 140.5 meV per atom

Unit cell a=5.8596 b=10.6836 c=10.9832 alpha=90.00 beta=90.00 gamma=105.92
Fractional coordinates of all 18 atoms:
Pm1 0.7181 0.4361 0.8146
Pm2 0.2951 0.5901 0.7062
Pm3 0.4850 0.9701 0.7419
Pm4 0.7049 0.4099 0.2062
Pm5 0.0184 0.0368 0.0214
Pm6 0.5150 0.0299 0.2419
Pm7 0.2819 0.5639 0.3146
Pm8 0.9816 0.9632 0.5214
Pm9 0.3841 0.7682 0.0183
Pm10 0.6159 0.2318 0.5183
Ac1 0.8838 0.7676 0.8166
Ac2 0.8853 0.7705 0.2300
Ac3 0.1147 0.2295 0.7300
Ac4 0.1162 0.2324 0.3166
Tm1 0.7944 0.5889 0.5105
Tm2 0.2056 0.4111 0.0105
La1 0.4127 0.8255 0.4644
La2 0.5873 0.1745 0.9644



Electronic total energy readings, ordered: -5.812, -4.185, -4.456 eV/atom